# Pr2DySn3Ir4, optimized geometry, DFT GGA-PBE
# Raw total energy   -6.78 eV per atom
# Volume   225.8 Å³ per cell
# Density of states at the Fermi level   0.575 states/eV per atom
# Formation energy from the elements   -0.620 eV/atom
data_Pr2DySn3Ir4
_chemical_formula_sum 'Pr2 Dy1 Sn3 Ir4'
_cell_length_a 4.406
_cell_length_b 4.406
_cell_length_c 11.630
_cell_angle_alpha 90.00
_cell_angle_beta 90.00
_cell_angle_gamma 90.00
_symmetry_space_group_name_H-M 'P -4 m 2'
_symmetry_Int_Tables_number 115
_symmetry_space_group_name_Hall 'P -4 -2'
loop_
_atom_site_label
_atom_site_fract_x
_atom_site_fract_y
_atom_site_fract_z
_atom_site_occupancy
Pr1 0.000 0.500 0.233 1
Dy1 0.000 0.000 0.500 1
Sn1 0.000 0.500 0.873 1
Sn2 0.500 0.500 0.500 1
Ir1 0.000 0.000 0.000 1
Ir2 0.000 0.500 0.648 1
Ir3 0.500 0.500 0.000 1


# PrDyTlIr, optimized geometry, DFT GGA-PBE
# Raw total energy   -5.54 eV per atom
# Volume   398.5 Å³ per cell
# Density of states at the Fermi level   0.847 states/eV per atom
# Formation energy from the elements   -0.389 eV/atom
data_PrDyTlIr
_chemical_formula_sum 'Pr4 Dy4 Tl4 Ir4'
_cell_length_a 7.359
_cell_length_b 7.359
_cell_length_c 7.359
_cell_angle_alpha 90.00
_cell_angle_beta 90.00
_cell_angle_gamma 90.00
_symmetry_space_group_name_H-M 'F -4 3 m'
_symmetry_Int_Tables_number 216
_symmetry_space_group_name_Hall 'F -4 2 3'
loop_
_atom_site_label
_atom_site_fract_x
_atom_site_fract_y
_atom_site_fract_z
_atom_site_occupancy
Pr1 0.000 0.000 0.000 1
Dy1 0.000 0.000 0.500 1
Tl1 0.250 0.250 0.750 1
Ir1 0.250 0.250 0.250 1


# Dy2IrPt, optimized geometry, DFT GGA-PBE
# Raw total energy   -7.07 eV per atom
# Volume   82.8 Å³ per cell
# Density of states at the Fermi level   0.396 states/eV per atom
# Formation energy from the elements   -1.039 eV/atom
data_Dy2IrPt
_chemical_formula_sum 'Dy2 Ir1 Pt1'
_cell_length_a 3.456
_cell_length_b 3.456
_cell_length_c 6.936
_cell_angle_alpha 90.00
_cell_angle_beta 90.00
_cell_angle_gamma 90.00
_symmetry_space_group_name_H-M 'P 4/m m m'
_symmetry_Int_Tables_number 123
_symmetry_space_group_name_Hall '-P 4 2'
loop_
_atom_site_label
_atom_site_fract_x
_atom_site_fract_y
_atom_site_fract_z
_atom_site_occupancy
Dy1 0.000 0.000 0.242 1
Ir1 0.500 0.500 0.000 1
Pt1 0.500 0.500 0.500 1


# Dy4IrPt2, optimized geometry, DFT GGA-PBE
# Raw total energy   -6.64 eV per atom
# Volume   653.7 Å³ per cell
# Density of states at the Fermi level   0.628 states/eV per atom
# Formation energy from the elements   -1.016 eV/atom
data_Dy4IrPt2
_chemical_formula_sum 'Dy16 Ir4 Pt8'
_cell_length_a 8.662
_cell_length_b 8.662
_cell_length_c 8.712
_cell_angle_alpha 90.00
_cell_angle_beta 90.00
_cell_angle_gamma 90.00
_symmetry_space_group_name_H-M 'I -4 2 d'
_symmetry_Int_Tables_number 122
_symmetry_space_group_name_Hall 'I -4 2bw'
loop_
_atom_site_label
_atom_site_fract_x
_atom_site_fract_y
_atom_site_fract_z
_atom_site_occupancy
Dy1 0.062 0.189 0.307 1
Ir1 0.000 0.000 0.000 1
Pt1 0.122 0.250 0.625 1